No. 1
Below is MnCo2Os after structural relaxation, with properties calculated at the GGA-PBE level.

Results
Its energy above the most stable polymorph in this dataset is 122 meV/atom. The energy of formation from the pure elements is 0.1811 eV per atom. The total magnetic moment is 0.48 μB/atom. The density of states at the Fermi level is 1.284 states/eV/atom. The energy comes out at -33.89 eV per cell.

The structure in CIF format:
```
data_MnCo2Os
_space_group_name_H-M_alt 'P 1'
_space_group_IT_number 1
_cell_length_a 2.605
_cell_length_b 2.605
_cell_length_c 8.283
_cell_angle_alpha 80.95
_cell_angle_beta 80.95
_cell_angle_gamma 60.00
loop_
_space_group_symop_operation_xyz
'x,y,z'
loop_
_atom_site_label
_atom_site_fract_x
_atom_site_fract_y
_atom_site_fract_z
_atom_site_occupancy
Os1 0.501 0.501 0.498 1
Co1 0.081 0.081 0.756 1
Co2 0.252 0.252 0.244 1
Mn1 0.666 0.666 0.003 1
```

---

No. 2
Below is PmRhW after structural relaxation, with properties calculated at the GGA-PBE level.

Results
The energy of formation from the pure elements is 0.1286 eV per atom. The total magnetic moment is 0.00 μB/atom. The density of states at the Fermi level is 0.798 states/eV/atom. The energy comes out at -49.34 eV per cell.

The structure in CIF format:
```
data_PmRhW
_space_group_name_H-M_alt 'P 1'
_space_group_IT_number 1
_cell_length_a 4.821
_cell_length_b 3.408
_cell_length_c 10.503
_cell_angle_alpha 90.00
_cell_angle_beta 90.00
_cell_angle_gamma 135.01
loop_
_space_group_symop_operation_xyz
'x,y,z'
loop_
_atom_site_label
_atom_site_fract_x
_atom_site_fract_y
_atom_site_fract_z
_atom_site_occupancy
Pm1 0.194 0.389 0.829 1
Pm2 0.194 0.389 0.171 1
Rh1 0.694 0.389 0.000 1
W1 0.694 0.389 0.383 1
Rh2 0.194 0.389 0.500 1
W2 0.694 0.389 0.617 1
```

---

No. 3
Below is KLiInO3 after structural relaxation, with properties calculated at the GGA-PBE level.

Results
The formation energy (no corrections) is -130.8 kJ per mole of atoms. The total magnetic moment is 0.17 μB/atom. The density of states at the Fermi level is 0.900 states/eV/atom. The energy comes out at -57.52 eV per cell.

The structure in CIF format:
```
data_KLiInO3
_space_group_name_H-M_alt 'P 1'
_space_group_IT_number 1
_cell_length_a 3.408
_cell_length_b 7.360
_cell_length_c 7.631
_cell_angle_alpha 106.96
_cell_angle_beta 90.00
_cell_angle_gamma 90.00
loop_
_space_group_symop_operation_xyz
'x,y,z'
loop_
_atom_site_label
_atom_site_fract_x
_atom_site_fract_y
_atom_site_fract_z
_atom_site_occupancy
O1 0.750 0.466 0.147 1
K1 0.750 0.794 0.761 1
O2 0.250 0.819 0.442 1
O3 0.250 0.140 0.855 1
In1 0.750 0.336 0.848 1
Li1 0.250 0.083 0.594 1
O4 0.750 0.181 0.558 1
In2 0.250 0.664 0.152 1
Li2 0.750 0.917 0.406 1
O5 0.250 0.534 0.853 1
K2 0.250 0.206 0.239 1
O6 0.750 0.860 0.145 1
```

---

No. 4
Below is TlAg2Hg after structural relaxation, with properties calculated at the GGA-PBE level.

Results
The energy of formation from the pure elements is 0.1150 eV per atom. The total magnetic moment is 0.00 μB/atom. The density of states at the Fermi level is 0.322 states/eV/atom. The energy comes out at -7.91 eV per cell.

The structure in CIF format:
```
data_TlAg2Hg
_space_group_name_H-M_alt 'P 1'
_space_group_IT_number 1
_cell_length_a 6.376
_cell_length_b 6.376
_cell_length_c 6.376
_cell_angle_alpha 151.56
_cell_angle_beta 133.01
_cell_angle_gamma 55.85
loop_
_space_group_symop_operation_xyz
'x,y,z'
loop_
_atom_site_label
_atom_site_fract_x
_atom_site_fract_y
_atom_site_fract_z
_atom_site_occupancy
Tl1 0.233 0.733 0.500 1
Ag1 0.980 0.980 0.000 1
Hg1 0.522 0.522 0.000 1
Ag2 0.765 0.265 0.500 1
```

---

No. 5
Below is ReAsIrSe2 after structural relaxation, with properties calculated at the GGA-PBE level.

Results
Its energy above the most stable polymorph in this dataset is 147 meV/atom. The formation energy (no corrections) is 135.4 kJ per mole of atoms. The total magnetic moment is 0.59 μB/atom. The density of states at the Fermi level is 0.992 states/eV/atom. The energy comes out at -25.91 eV per cell.

The structure in CIF format:
```
data_ReAsIrSe2
_space_group_name_H-M_alt 'P 1'
_space_group_IT_number 1
_cell_length_a 4.955
_cell_length_b 4.955
_cell_length_c 4.648
_cell_angle_alpha 90.00
_cell_angle_beta 90.00
_cell_angle_gamma 90.00
loop_
_space_group_symop_operation_xyz
'x,y,z'
loop_
_atom_site_label
_atom_site_fract_x
_atom_site_fract_y
_atom_site_fract_z
_atom_site_occupancy
Se1 0.000 0.500 0.000 1
Se2 0.500 0.000 0.000 1
Re1 0.500 0.500 0.500 1
As1 0.000 0.000 0.500 1
Ir1 0.000 0.000 0.000 1
```

---

No. 6
Below is Sr2LiSnAs after structural relaxation, with properties calculated at the GGA-PBE level.

Results
The energy of formation from the pure elements is -0.0967 eV per atom. The total magnetic moment is 0.00 μB/atom. The density of states at the Fermi level is 1.346 states/eV/atom. The energy comes out at -14.41 eV per cell.

The structure in CIF format:
```
data_Sr2LiSnAs
_space_group_name_H-M_alt 'P 1'
_space_group_IT_number 1
_cell_length_a 6.165
_cell_length_b 4.938
_cell_length_c 6.165
_cell_angle_alpha 90.00
_cell_angle_beta 90.00
_cell_angle_gamma 90.00
loop_
_space_group_symop_operation_xyz
'x,y,z'
loop_
_atom_site_label
_atom_site_fract_x
_atom_site_fract_y
_atom_site_fract_z
_atom_site_occupancy
Li1 0.000 0.500 0.000 1
Sn1 0.000 0.000 0.000 1
Sr1 0.000 0.000 0.500 1
Sr2 0.500 0.000 0.000 1
As1 0.500 0.500 0.500 1
```

---

No. 7
Below is BTe2Rh after structural relaxation, with properties calculated at the GGA-PBE level.

Results
The formation energy (no corrections) is 49.2 kJ per mole of atoms. The total magnetic moment is 0.00 μB/atom. The density of states at the Fermi level is 0.870 states/eV/atom. The energy comes out at -18.27 eV per cell.

The structure in CIF format:
```
data_BTe2Rh
_space_group_name_H-M_alt 'P 1'
_space_group_IT_number 1
_cell_length_a 7.220
_cell_length_b 7.220
_cell_length_c 7.220
_cell_angle_alpha 33.02
_cell_angle_beta 33.02
_cell_angle_gamma 33.02
loop_
_space_group_symop_operation_xyz
'x,y,z'
loop_
_atom_site_label
_atom_site_fract_x
_atom_site_fract_y
_atom_site_fract_z
_atom_site_occupancy
Te1 0.899 0.899 0.899 1
B1 0.000 0.000 0.000 1
Rh1 0.500 0.500 0.500 1
Te2 0.101 0.101 0.101 1
```

---

No. 8
Below is NaPmErHg after structural relaxation, with properties calculated at the GGA-PBE level.

Results
The energy of formation from the pure elements is -0.0483 eV per atom. The total magnetic moment is 0.19 μB/atom. The density of states at the Fermi level is 1.229 states/eV/atom. The energy comes out at -11.13 eV per cell.

The structure in CIF format:
```
data_NaPmErHg
_space_group_name_H-M_alt 'P 1'
_space_group_IT_number 1
_cell_length_a 5.388
_cell_length_b 5.388
_cell_length_c 5.388
_cell_angle_alpha 60.00
_cell_angle_beta 60.00
_cell_angle_gamma 60.00
loop_
_space_group_symop_operation_xyz
'x,y,z'
loop_
_atom_site_label
_atom_site_fract_x
_atom_site_fract_y
_atom_site_fract_z
_atom_site_occupancy
Pm1 0.250 0.250 0.250 1
Hg1 0.500 0.500 0.500 1
Er1 0.750 0.750 0.750 1
Na1 0.000 0.000 0.000 1
```

---

No. 9
Below is Li2InRu after structural relaxation, with properties calculated at the GGA-PBE level.

Results
The energy of formation from the pure elements is 0.1009 eV per atom. The total magnetic moment is 0.01 μB/atom. The density of states at the Fermi level is 0.576 states/eV/atom. The energy comes out at -15.44 eV per cell.

The structure in CIF format:
```
data_Li2InRu
_space_group_name_H-M_alt 'P 1'
_space_group_IT_number 1
_cell_length_a 5.080
_cell_length_b 5.080
_cell_length_c 2.730
_cell_angle_alpha 90.00
_cell_angle_beta 90.00
_cell_angle_gamma 114.97
loop_
_space_group_symop_operation_xyz
'x,y,z'
loop_
_atom_site_label
_atom_site_fract_x
_atom_site_fract_y
_atom_site_fract_z
_atom_site_occupancy
Li1 0.500 0.500 0.000 1
Li2 0.000 0.000 0.000 1
In1 0.000 0.500 0.500 1
Ru1 0.500 0.000 0.500 1
```

---

No. 10
Below is Tl2Zn2O after structural relaxation, with properties calculated at the GGA-PBE level.

Results
Its energy above the most stable polymorph in this dataset is 144 meV/atom. The formation energy (no corrections) is 11.1 kJ per mole of atoms. The total magnetic moment is 0.00 μB/atom. The density of states at the Fermi level is 0.256 states/eV/atom. The energy comes out at -23.33 eV per cell.

The structure in CIF format:
```
data_Tl2Zn2O
_space_group_name_H-M_alt 'P 1'
_space_group_IT_number 1
_cell_length_a 6.759
_cell_length_b 6.759
_cell_length_c 5.060
_cell_angle_alpha 90.00
_cell_angle_beta 90.00
_cell_angle_gamma 90.00
loop_
_space_group_symop_operation_xyz
'x,y,z'
loop_
_atom_site_label
_atom_site_fract_x
_atom_site_fract_y
_atom_site_fract_z
_atom_site_occupancy
Zn1 0.356 0.144 0.500 1
Zn2 0.856 0.356 0.500 1
Tl1 0.325 0.825 0.000 1
Tl2 0.825 0.675 0.000 1
O1 0.500 0.500 0.000 1
Zn3 0.644 0.856 0.500 1
O2 0.000 0.000 0.000 1
Tl3 0.675 0.175 0.000 1
Tl4 0.175 0.325 0.000 1
Zn4 0.144 0.644 0.500 1
```

---

No. 11
Below is PrPaSe4 after structural relaxation, with properties calculated at the GGA-PBE level.

Results
Its energy above the most stable polymorph in this dataset is 5 meV/atom. The formation energy (no corrections) is -144.6 kJ per mole of atoms. The total magnetic moment is 0.00 μB/atom. The density of states at the Fermi level is 0.579 states/eV/atom. The energy comes out at -74.42 eV per cell.

The structure in CIF format:
```
data_PrPaSe4
_space_group_name_H-M_alt 'P 1'
_space_group_IT_number 1
_cell_length_a 6.714
_cell_length_b 5.833
_cell_length_c 8.234
_cell_angle_alpha 90.00
_cell_angle_beta 107.77
_cell_angle_gamma 90.00
loop_
_space_group_symop_operation_xyz
'x,y,z'
loop_
_atom_site_label
_atom_site_fract_x
_atom_site_fract_y
_atom_site_fract_z
_atom_site_occupancy
Se1 0.996 0.002 0.267 1
Se2 0.004 0.502 0.733 1
Pa1 0.258 0.250 0.565 1
Se3 0.004 0.998 0.733 1
Se4 0.420 0.750 0.594 1
Se5 0.425 0.750 0.118 1
Se6 0.580 0.250 0.406 1
Pr1 0.259 0.250 0.066 1
Pr2 0.741 0.750 0.934 1
Se7 0.996 0.498 0.267 1
Pa2 0.742 0.750 0.435 1
Se8 0.575 0.250 0.882 1
```

---

No. 12
Below is UPaMo2 after structural relaxation, with properties calculated at the GGA-PBE level.

Results
Its energy above the most stable polymorph in this dataset is 41 meV/atom. The energy of formation from the pure elements is 0.3205 eV per atom. The total magnetic moment is 0.18 μB/atom. The density of states at the Fermi level is 2.241 states/eV/atom. The energy comes out at -41.16 eV per cell.

The structure in CIF format:
```
data_UPaMo2
_space_group_name_H-M_alt 'P 1'
_space_group_IT_number 1
_cell_length_a 4.857
_cell_length_b 4.857
_cell_length_c 4.857
_cell_angle_alpha 60.00
_cell_angle_beta 60.00
_cell_angle_gamma 60.00
loop_
_space_group_symop_operation_xyz
'x,y,z'
loop_
_atom_site_label
_atom_site_fract_x
_atom_site_fract_y
_atom_site_fract_z
_atom_site_occupancy
Pa1 0.000 0.000 0.000 1
Mo1 0.750 0.750 0.750 1
U1 0.500 0.500 0.500 1
Mo2 0.250 0.250 0.250 1
```